1.
10
Lattice="2.136 -7.078 0.000 2.136 7.078 0.000 0.000 0.000 9.145" Properties=species:S:1:pos:R:3 comment="PBE-GGA LiPbICl2, optimized geometry" magnetic_moment_mub_per_atom=0.000 space_group="No. 63" n_ef_per_ev_fu=0.00 e_form_raw_ev_per_atom=-1.1879 e_tot_ev_per_atom=-3.361 pbc="T T T"
Li 0.000 0.000 0.000
Li 0.000 0.000 4.572
Pb 2.136 3.642 6.859
Pb 2.136 -3.642 2.286
I 2.136 0.837 2.286
I 2.136 -0.837 6.859
Cl 2.136 4.798 0.588
Cl 2.136 4.798 3.984
Cl 2.136 -4.798 5.161
Cl 2.136 -4.798 8.556

---

2.
11
Lattice="-2.781 2.781 12.756 2.781 -2.781 12.756 2.781 2.781 -12.756" Properties=species:S:1:pos:R:3 comment="PBE-GGA Li2Pu2I2Cl5, optimized geometry" magnetic_moment_mub_per_atom=1.000 space_group="No. 139" n_ef_per_ev_fu=30.40 e_form_raw_ev_per_atom=-1.5101 e_tot_ev_per_atom=-5.585 pbc="T T T"
Li 0.000 0.000 4.275
Li 0.000 0.000 21.237
Pu 0.000 0.000 10.016
Pu 0.000 0.000 15.495
I 0.000 0.000 6.961
I 0.000 0.000 18.551
Cl 2.781 0.000 2.970
Cl 2.781 0.000 9.786
Cl 0.000 0.000 12.756
Cl 0.000 2.781 2.970
Cl 0.000 2.781 9.786

---

3.
4
Lattice="4.751 0.000 0.000 -2.376 4.115 0.000 0.000 0.000 7.686" Properties=species:S:1:pos:R:3 comment="PBE-GGA RbLiICl, optimized geometry" magnetic_moment_mub_per_atom=0.000 space_group="No. 156" n_ef_per_ev_fu=0.00 e_form_raw_ev_per_atom=-1.5757 e_tot_ev_per_atom=-3.145 pbc="T T T"
Rb 0.000 0.000 0.000
Li 0.000 2.743 3.839
I 2.376 1.372 4.974
Cl 0.000 2.743 1.573

---

4.
9
Lattice="6.831 0.000 0.000 1.973 7.008 0.000 3.165 1.035 6.644" Properties=species:S:1:pos:R:3 comment="PBE-GGA RbLiICl6, optimized geometry" magnetic_moment_mub_per_atom=0.114 space_group="No. 1" n_ef_per_ev_fu=1.53 e_form_raw_ev_per_atom=-0.8686 e_tot_ev_per_atom=-2.592 pbc="T T T"
Rb 0.000 0.000 0.000
Li 8.776 5.839 5.081
I 4.766 4.849 2.812
Cl 3.051 3.762 1.461
Cl 6.509 6.170 4.185
Cl 5.514 6.359 0.184
Cl 6.271 2.943 2.643
Cl 10.036 6.884 3.193
Cl 10.211 4.036 5.381

---

5.
12
Lattice="7.407 0.000 0.000 0.000 6.073 0.000 -2.769 0.000 8.604" Properties=species:S:1:pos:R:3 comment="PBE-GGA RbLi2ICl2, optimized geometry" magnetic_moment_mub_per_atom=0.000 space_group="No. 11" n_ef_per_ev_fu=0.00 e_form_raw_ev_per_atom=-1.6466 e_tot_ev_per_atom=-3.320 pbc="T T T"
Rb 0.175 1.518 3.050
Rb 4.463 4.554 5.555
Li 0.476 0.016 6.933
Li 0.476 3.020 6.933
Li 4.162 3.052 1.671
Li 4.162 6.056 1.671
I 2.117 4.554 0.439
I 2.521 1.518 8.165
Cl -1.071 1.518 6.107
Cl 1.181 4.554 5.376
Cl 3.457 1.518 3.228
Cl 5.709 4.554 2.498

---

6.
6
Lattice="4.966 0.000 0.000 0.000 4.966 0.000 0.000 0.000 8.435" Properties=species:S:1:pos:R:3 comment="PBE-GGA Rb2LiICl2, optimized geometry" magnetic_moment_mub_per_atom=0.000 space_group="No. 123" n_ef_per_ev_fu=0.00 e_form_raw_ev_per_atom=-1.6937 e_tot_ev_per_atom=-3.209 pbc="T T T"
Rb 0.000 0.000 2.031
Rb 0.000 0.000 6.404
Li 2.483 2.483 4.218
I 2.483 2.483 0.000
Cl 0.000 2.483 4.218
Cl 2.483 0.000 4.218

---

7.
5
Lattice="6.133 0.000 0.000 0.000 6.133 0.000 0.000 0.000 4.924" Properties=species:S:1:pos:R:3 comment="PBE-GGA LiRuICl2, optimized geometry" magnetic_moment_mub_per_atom=0.483 space_group="No. 123" n_ef_per_ev_fu=3.15 e_form_raw_ev_per_atom=0.4587 e_tot_ev_per_atom=-2.828 pbc="T T T"
Li 0.000 0.000 0.000
Ru 3.067 3.067 0.000
I 3.067 3.067 2.462
Cl 0.000 3.067 2.462
Cl 3.067 0.000 2.462

---

8.
5
Lattice="5.148 0.000 0.000 0.000 5.148 0.000 0.000 0.000 5.547" Properties=species:S:1:pos:R:3 comment="PBE-GGA LiS2ICl, optimized geometry" relative_energy_mev_per_atom=0 magnetic_moment_mub_per_atom=0.000 space_group="No. 123" n_ef_per_ev_fu=2.91 e_form_raw_ev_per_atom=0.1718 e_tot_ev_per_atom=-2.541 pbc="T T T"
Li 0.000 0.000 0.000
S 0.000 2.574 2.774
S 2.574 0.000 2.774
I 2.574 2.574 2.774
Cl 2.574 2.574 0.000